Record 1
Entry from Alexandria via LeMat-Bulk: crystalline FeSbBr4 at its relaxed geometry (PBE).

Structure (extended XYZ):
```
6
Lattice="0.0000 4.3686 4.3686 4.3686 0.0000 4.3686 4.3686 4.3686 0.0000" Properties=species:S:1:pos:R:3 pbc="T T T"
Fe 0.0000 0.0000 0.0000
Sb 6.5529 6.5529 6.5529
Br 3.2690 3.2690 3.2690
Br 5.4681 5.4681 3.2690
Br 5.4681 3.2690 5.4681
Br 3.2690 5.4681 5.4681
```

Record 2
8
Lattice="3.2709 0.0000 0.0000 0.0000 5.0892 0.0000 0.0000 0.0000 11.6521" Properties=species:S:1:pos:R:3 comment="FeSb2Br, relaxed, DFT PBE" relative_energy_mev_per_atom=264 pbc="T T T"
Fe 0.0000 0.0000 0.0000
Fe 1.6354 2.5446 5.8261
Sb 0.0000 2.5446 3.6842
Sb 0.0000 2.5446 7.9679
Sb 1.6354 0.0000 2.1419
Sb 1.6354 0.0000 9.5102
Br 0.0000 0.0000 5.8261
Br 1.6354 2.5446 0.0000

Record 3
8
Lattice="6.7748 0.0000 0.0000 0.0000 8.3896 0.0000 0.0000 0.0000 3.3908" Properties=species:S:1:pos:R:3 comment="FeSbBr2, relaxed, DFT PBE" relative_energy_mev_per_atom=709 pbc="T T T"
Fe 0.0000 0.0000 0.0000
Fe 3.3874 4.1948 0.0000
Sb 0.0000 4.1948 0.0000
Sb 3.3874 0.0000 0.0000
Br 1.6937 2.0974 1.6954
Br 1.6937 6.2922 1.6954
Br 5.0811 2.0974 1.6954
Br 5.0811 6.2922 1.6954

Record 4
Entry from Alexandria via LeMat-Bulk: crystalline FeSnSb2Br at its relaxed geometry (PBE).

Structure (extended XYZ):
```
5
Lattice="4.9736 0.0000 0.0000 0.0000 4.9736 0.0000 0.0000 0.0000 5.2023" Properties=species:S:1:pos:R:3 pbc="T T T"
Fe 0.0000 0.0000 0.0000
Sn 0.0000 0.0000 2.6012
Sb 0.0000 2.4868 0.0000
Sb 2.4868 0.0000 0.0000
Br 2.4868 2.4868 2.6012
```

no.,total energy (Ry per atom),raw formation energy (eV per atom),mass density (g cm⁻³)
1,-0.161,1.022,5.0
2,-0.318,0.264,6.5
3,-0.249,0.598,5.8
4,-0.318,0.157,6.4